# 1
The following is a GGA-PBEsol calculation of CdFe2Si after structural relaxation, from Alexandria.

Cell: 2.6460 4.1454 5.3055 Å, 99.63 90.00 108.61°
Fractional coordinates of all 4 atoms:
Cd1 0.5000 0.0000 0.0000
Si1 0.0000 0.0000 0.5000
Fe1 0.2631 0.5261 0.3029
Fe2 0.7369 0.4739 0.6971

Computed properties:
D(E_F) = 0.829 states/eV per atom
M_tot = 3.58 μB per cell
E_form (uncorrected) = 190 meV per atom


# 2
The following is a GGA-PBEsol calculation of ZrTlZnGa2 after structural relaxation, from Alexandria.

Cell: 5.2005 5.2005 5.2141 Å, 90.00 90.00 90.00°
Fractional coordinates of all 5 atoms:
Ga1 0.0000 0.5000 0.0000
Ga2 0.5000 0.0000 0.0000
Zn1 0.0000 0.0000 0.5000
Zr1 0.0000 0.0000 0.0000
Tl1 0.5000 0.5000 0.5000

Computed properties:
calculated formation energy = 0.627 eV/atom
D(E_F) = 1.186 states/eV per atom
M_tot = 0.02 μB per cell


# 3
The following is a GGA-PBEsol calculation of KSrAs2 after structural relaxation, from Alexandria.

Cell: 4.2747 4.7279 7.3801 Å, 108.68 106.83 90.00°
Fractional coordinates of all 4 atoms:
Sr1 0.2290 0.7290 0.4580
As1 0.6960 0.1960 0.3920
As2 0.0842 0.0842 0.1684
K1 0.4908 0.4908 0.9817

Computed properties:
calculated formation energy = -0.541 eV/atom
D(E_F) = 0.292 states/eV per atom
ΔE to the lowest computed polymorph = 0.1543 eV/atom
M_tot = 0.00 μB per cell


# 4
The following is a GGA-PBEsol calculation of Rb2AgAs3Se6 after structural relaxation, from Alexandria.

Cell: 7.7094 12.4754 14.3982 Å, 96.80 90.00 90.00°
Fractional coordinates of all 48 atoms:
As1 0.4473 0.5274 0.3651
As2 0.5527 0.4726 0.6349
As3 0.0839 0.1287 0.3502
As4 0.3313 0.8882 0.9981
As5 0.5839 0.3713 0.1498
As6 0.0527 0.0274 0.8651
As7 0.6687 0.1118 0.0019
As8 0.9473 0.9726 0.1349
As9 0.4161 0.6287 0.8502
As10 0.9161 0.8713 0.6498
As11 0.8313 0.6118 0.5019
As12 0.1687 0.3882 0.4981
Se1 0.0801 0.7024 0.4566
Se2 0.9199 0.2976 0.5434
Se3 0.3223 0.5710 0.2246
Se4 0.2643 0.0373 0.4517
Se5 0.7643 0.4627 0.0483
Se6 0.2056 0.0784 0.1939
Se7 0.0993 0.8030 0.0815
Se8 0.7335 0.1993 0.1591
Se9 0.7357 0.9627 0.5483
Se10 0.7665 0.6993 0.6591
Se11 0.2357 0.5373 0.9517
Se12 0.5801 0.7976 0.0434
Se13 0.4199 0.2024 0.9566
Se14 0.2665 0.8007 0.8409
Se15 0.8223 0.9290 0.2754
Se16 0.7056 0.4216 0.3061
Se17 0.1777 0.0710 0.7246
Se18 0.5993 0.6970 0.4185
Se19 0.9007 0.1970 0.9185
Se20 0.2335 0.3007 0.3409
Se21 0.4007 0.3030 0.5815
Se22 0.7944 0.9216 0.8061
Se23 0.2944 0.5784 0.6939
Se24 0.6777 0.4290 0.7754
Ag1 0.9986 0.8983 0.4273
Ag2 0.5014 0.3983 0.9273
Ag3 0.0014 0.1017 0.5727
Ag4 0.4986 0.6017 0.0727
Rb1 0.8889 0.6523 0.2349
Rb2 0.3889 0.8477 0.2651
Rb3 0.3740 0.8301 0.6116
Rb4 0.6260 0.1699 0.3884
Rb5 0.1260 0.3301 0.1116
Rb6 0.8740 0.6699 0.8884
Rb7 0.6111 0.1523 0.7349
Rb8 0.1111 0.3477 0.7651

Computed properties:
M_tot = 0.00 μB per cell
E_form (uncorrected) = -431 meV per atom


# 5
The following is a GGA-PBEsol calculation of YMg2Os2 after structural relaxation, from Alexandria.

Cell: 4.1789 4.1789 6.3951 Å, 109.07 109.07 90.00°
Fractional coordinates of all 5 atoms:
Mg1 0.7500 0.2500 0.5000
Mg2 0.2500 0.7500 0.5000
Os1 0.6019 0.6019 0.2037
Os2 0.3981 0.3981 0.7963
Y1 0.0000 0.0000 0.0000

Computed properties:
calculated formation energy = 0.309 eV/atom
D(E_F) = 1.228 states/eV per atom
M_tot = 0.18 μB per cell


# 6
The following is a GGA-PBEsol calculation of Ni2HS after structural relaxation, from Alexandria.

Cell: 3.7333 3.7333 3.7333 Å, 60.00 60.00 60.00°
Fractional coordinates of all 4 atoms:
Ni1 0.7500 0.7500 0.7500
Ni2 0.2500 0.2500 0.2500
H1 0.0000 0.0000 0.0000
S1 0.5000 0.5000 0.5000

Computed properties:
DFT total energy = -4.832 eV per atom
D(E_F) = 0.735 states/eV per atom
M_tot = 0.00 μB per cell


# 7
The following is a GGA-PBEsol calculation of TaCoGe after structural relaxation, from Alexandria.

Cell: 3.7093 6.2442 7.0591 Å, 90.00 90.00 90.00°
Fractional coordinates of all 12 atoms:
Ta1 0.7500 0.5211 0.3163
Ta2 0.2500 0.4789 0.6837
Ta3 0.7500 0.0211 0.1837
Ta4 0.2500 0.9789 0.8163
Co1 0.2500 0.3597 0.0630
Co2 0.7500 0.1403 0.5630
Co3 0.7500 0.6403 0.9370
Co4 0.2500 0.8597 0.4370
Ge1 0.2500 0.2311 0.3816
Ge2 0.2500 0.7311 0.1184
Ge3 0.7500 0.2689 0.8816
Ge4 0.7500 0.7689 0.6184

Computed properties:
calculated formation energy = -0.497 eV/atom
D(E_F) = 0.302 states/eV per atom
M_tot = 0.00 μB per cell


# 8
The following is a GGA-PBEsol calculation of Co2SiNi after structural relaxation, from Alexandria.

Cell: 3.5664 4.1012 3.5664 Å, 64.23 90.00 115.77°
Fractional coordinates of all 4 atoms:
Si1 0.0000 0.0000 0.0000
Co1 0.7500 0.5000 0.7500
Co2 0.2500 0.5000 0.2500
Ni1 0.5000 0.0000 0.5000

Computed properties:
D(E_F) = 0.861 states/eV per atom
M_tot = 1.86 μB per cell
E_form (uncorrected) = -381 meV per atom


# 9
The following is a GGA-PBEsol calculation of SrCoSbTe2 after structural relaxation, from Alexandria.

Cell: 4.6325 5.3854 5.3854 Å, 90.00 90.00 90.00°
Fractional coordinates of all 5 atoms:
Co1 0.0000 0.0000 0.0000
Te1 0.0000 0.5000 0.0000
Te2 0.0000 0.0000 0.5000
Sb1 0.5000 0.0000 0.0000
Sr1 0.5000 0.5000 0.5000

Computed properties:
D(E_F) = 0.889 states/eV per atom
ΔE to the lowest computed polymorph = 0.0000 eV/atom
M_tot = 0.00 μB per cell
E_form (uncorrected) = -376 meV per atom


# 10
The following is a GGA-PBEsol calculation of TaPCl2 after structural relaxation, from Alexandria.

Cell: 4.5051 4.5051 4.5051 Å, 60.00 60.00 60.00°
Fractional coordinates of all 4 atoms:
Ta1 0.2500 0.2500 0.2500
P1 0.5000 0.5000 0.5000
Cl1 0.7500 0.7500 0.7500
Cl2 0.0000 0.0000 0.0000

Computed properties:
D(E_F) = 0.853 states/eV per atom
ΔE to the lowest computed polymorph = 0.6979 eV/atom
M_tot = 0.00 μB per cell
E_form (uncorrected) = 156 meV per atom


# 11
The following is a GGA-PBEsol calculation of TcAu after structural relaxation, from Alexandria.

Cell: 4.3592 4.3592 5.2099 Å, 90.00 90.00 120.00°
Fractional coordinates of all 4 atoms:
Au1 0.6667 0.3333 0.2500
Au2 0.3333 0.6667 0.7500
Tc1 0.3333 0.6667 0.2500
Tc2 0.6667 0.3333 0.7500

Computed properties:
calculated formation energy = 1.689 eV/atom
D(E_F) = 1.703 states/eV per atom
ΔE to the lowest computed polymorph = 1.6336 eV/atom
M_tot = 2.59 μB per cell


# 12
The following is a GGA-PBEsol calculation of Mg2CuBRu after structural relaxation, from Alexandria.

Cell: 3.8888 4.3899 4.3899 Å, 90.00 90.00 90.00°
Fractional coordinates of all 5 atoms:
Cu1 0.5000 0.5000 0.5000
Ru1 0.5000 0.0000 0.0000
Mg1 0.0000 0.0000 0.5000
Mg2 0.0000 0.5000 0.0000
B1 0.0000 0.0000 0.0000

Computed properties:
calculated formation energy = 0.289 eV/atom
D(E_F) = 0.480 states/eV per atom
M_tot = 0.00 μB per cell